Compound: NaIn2CoHg
Source: the Alexandria database
Functional: GGA-PBE
Structure: optimized geometry

## Properties
- Formation enthalpy at 0 K: -1 meV/atom

Cell lengths 4.9330, 4.9330, 5.1586 Å; angles 90.00, 90.00, 90.00 degrees
Last column: nearest neighbours and their distance in Å.
Space group P4/mmm (No. 123)
Unique sites:
Na1 0.0000 0.0000 0.0000 (multiplicity 1)  4 Hg 3.49, 8 In 3.57
In1 0.0000 0.5000 0.5000 (multiplicity 2)  2 Co 2.47
Co1 0.5000 0.5000 0.5000 (multiplicity 1)  4 In 2.47, 2 Hg 2.58
Hg1 0.5000 0.5000 0.0000 (multiplicity 1)  2 Co 2.58